[1]
The following is a DFT calculation (PBE) of a relaxed structure of Ag8SnHg2.

The value obtained for the total magnetization is 0.00 μB/cell.

The structure belongs to space group C2/m (No. 12); the cell edges are 13.218, 7.279 and 5.157 Å and the angles 90.00°, 106.46° and 90.00°. The distinct sites, in fractional coordinates, are Ag at (0.070, 0.190, 0.289), Ag at (0.130, 0.000, 0.832), Ag at (0.236, 0.500, 0.593), Sn at (0.000, 0.500, 0.500) and Hg at (0.148, 0.500, 0.035).



[2]
The following is a DFT calculation (PBE) of a relaxed structure of Ag14SnHg.

The value obtained for the total magnetization is 0.00 μB/cell.

The structure belongs to space group Amm2 (No. 38); the cell edges are 9.682, 6.187 and 9.966 Å and the angles 90.00°, 90.00° and 90.00°. The distinct sites, in fractional coordinates, are Ag at (0.000, 0.000, 0.000), Ag at (0.000, 0.000, 0.499), Ag at (0.000, 0.250, 0.249), Ag at (0.243, 0.249, 0.926), Ag at (0.245, 0.000, 0.174), Ag at (0.245, 0.000, 0.674), Ag at (0.500, 0.249, 0.100), Sn at (0.500, 0.000, 0.352) and Hg at (0.500, 0.000, 0.850).



[3]
The following is a DFT calculation (PBE) of a relaxed structure of AgSnHg.

As for the distance to the lowest polymorph of the same formula: 33 meV per atom. The value obtained for the total magnetization is 0.00 μB/cell.

The structure belongs to space group F-43m (No. 216); the cell edges are 6.715, 6.715 and 6.715 Å and the angles 90.00°, 90.00° and 90.00°. The distinct sites, in fractional coordinates, are Ag at (0.000, 0.000, 0.000), Sn at (0.250, 0.250, 0.750) and Hg at (0.250, 0.250, 0.250).



[4]
The following is a DFT calculation (PBE) of a relaxed structure of AgSnHg2.

The value obtained for the total magnetization is 0.00 μB/cell.

The structure belongs to space group R-3m (No. 166, hexagonal axes); the cell edges are 3.2086, 3.2086 and 34.1759 Å and the angles 90.00°, 90.00° and 120.00°. The distinct sites, in fractional coordinates, are Ag at (0.0000, 0.0000, 0.0000), Sn at (0.0000, 0.0000, 0.5000) and Hg at (0.0000, 0.0000, 0.0820).



[5]
The following is a DFT calculation (PBE) of a relaxed structure of AgSn2Hg.

The value obtained for the total magnetization is 0.00 μB/cell.

The structure belongs to space group P4/mmm (No. 123); the cell edges are 3.296, 3.296 and 9.102 Å and the angles 90.00°, 90.00° and 90.00°. The distinct sites, in fractional coordinates, are Ag at (0.000, 0.000, 0.000), Sn at (0.500, 0.500, 0.218) and Hg at (0.000, 0.000, 0.500).



[6]
The following is a DFT calculation (PBE) of a relaxed structure of AgSnHg2.

The value obtained for the total magnetization is 0.00 μB/cell.

The structure belongs to space group P4/mmm (No. 123); the cell edges are 4.590, 4.590 and 4.452 Å and the angles 90.00°, 90.00° and 90.00°. The distinct sites, in fractional coordinates, are Ag at (0.000, 0.000, 0.000), Sn at (0.500, 0.500, 0.000) and Hg at (0.000, 0.500, 0.500).



[7]
The following is a DFT calculation (PBE) of a relaxed structure of Ag3SnHg.

As for the distance to the lowest polymorph of the same formula: 414 meV per atom. The value obtained for the total magnetization is 0.00 μB/cell.

The structure belongs to space group Pm-3m (No. 221); the cell edges are 5.307, 5.307 and 5.307 Å and the angles 90.00°, 90.00° and 90.00°. The distinct sites, in fractional coordinates, are Ag at (0.000, 0.000, 0.500), Sn at (0.000, 0.000, 0.000) and Hg at (0.500, 0.500, 0.500).



[8]
The following is a DFT calculation (PBE) of a relaxed structure of Ag3Sn5Hg12.

The value obtained for the total magnetization is 0.00 μB/cell.

The structure belongs to space group Ia-3d (No. 230); the cell edges are 16.825, 16.825 and 16.825 Å and the angles 90.00°, 90.00° and 90.00°. The distinct sites, in fractional coordinates, are Ag at (0.000, 0.250, 0.125), Sn at (0.000, 0.000, 0.000), Sn at (0.000, 0.250, 0.375) and Hg at (0.015, 0.082, 0.654).



[9]
The following is a DFT calculation (PBE) of a relaxed structure of Ag2SnHg2.

As for the distance to the lowest polymorph of the same formula: 88 meV per atom. The value obtained for the total magnetization is 0.00 μB/cell.

The structure belongs to space group I4/mmm (No. 139); the cell edges are 4.091, 4.091 and 14.112 Å and the angles 90.00°, 90.00° and 90.00°. The distinct sites, in fractional coordinates, are Ag at (0.000, 0.000, 0.096), Sn at (0.000, 0.000, 0.500) and Hg at (0.000, 0.500, 0.250).



[10]
The following is a DFT calculation (PBE) of a relaxed structure of Ag3Sn5Hg.

The value obtained for the total magnetization is 0.00 μB/cell.

The structure belongs to space group C2/m (No. 12); the cell edges are 10.354, 9.649 and 10.736 Å and the angles 90.00°, 112.97° and 90.00°. The distinct sites, in fractional coordinates, are Ag at (0.000, 0.000, 0.000), Ag at (0.000, 0.500, 0.500), Ag at (0.004, 0.000, 0.738), Ag at (0.027, 0.500, 0.218), Sn at (0.000, 0.287, 0.000), Sn at (0.090, 0.257, 0.399), Sn at (0.182, 0.000, 0.596), Sn at (0.223, 0.500, 0.053) and Hg at (0.239, 0.500, 0.758).



[11]
The following is a DFT calculation (PBE) of a relaxed structure of Ag2SnHg2.

As for the distance to the lowest polymorph of the same formula: 0 meV per atom. The value obtained for the total magnetization is 0.00 μB/cell.

The structure belongs to space group P-1 (No. 2); the cell edges are 4.842, 7.361 and 7.846 Å and the angles 67.24°, 72.23° and 71.21°. The distinct sites, in fractional coordinates, are Ag at (0.196, 0.136, 0.460), Ag at (0.291, 0.363, 0.039), Sn at (0.264, 0.751, 0.751), Hg at (0.222, 0.397, 0.647) and Hg at (0.234, 0.897, 0.146).



[12]
The following is a DFT calculation (PBE) of a relaxed structure of AgSn2Hg2.

As for the distance to the lowest polymorph of the same formula: 122 meV per atom. The value obtained for the total magnetization is 0.00 μB/cell.

The structure belongs to space group I4/mmm (No. 139); the cell edges are 4.070, 4.070 and 16.191 Å and the angles 90.00°, 90.00° and 90.00°. The distinct sites, in fractional coordinates, are Ag at (0.000, 0.000, 0.000), Sn at (0.000, 0.000, 0.406) and Hg at (0.000, 0.500, 0.250).



no.,DFT formation energy (meV per atom),D(E_F) (states/eV/f.u.)
1,153,3.563
2,43,4.993
3,74,1.356
4,168,2.001
5,52,1.336
6,117,1.815
7,456,3.834
8,203,13.892
9,155,1.632
10,113,3.506
11,67,0.994
12,230,2.462